Record 1
First-principles (PBE) data for an optimized crystal structure of ErTc2B6, as listed in the Alexandria database.

Calculated values
The energy relative to the lowest polymorph listed for this composition is 0 meV per atom. The uncorrected energy is -7.73 eV per atom.

Geometry as CIF:
```
data_ErTc2B6
_chemical_formula_sum 'Er2 Tc4 B12'
_symmetry_space_group_name_H-M 'I m m m'
_symmetry_Int_Tables_number 71
_symmetry_space_group_name_Hall '-I 2 2'
_cell_length_a 3.1159
_cell_length_b 6.7764
_cell_length_c 8.5409
_cell_angle_alpha 90.00
_cell_angle_beta 90.00
_cell_angle_gamma 90.00
loop_
_atom_site_label
_atom_site_type_symbol
_atom_site_fract_x
_atom_site_fract_y
_atom_site_fract_z
Er1 Er 0.0000 0.0000 0.0000
Tc1 Tc 0.0000 0.5000 0.1610
B1 B 0.0000 0.1562 0.5000
B2 B 0.0000 0.2450 0.3102
```

---

Record 2
First-principles (PBE) data for an optimized crystal structure of ErTcB2, as listed in the Alexandria database.

Calculated values
The energy relative to the lowest polymorph listed for this composition is 0 meV per atom. The uncorrected energy is -7.67 eV per atom.

Geometry as CIF:
```
data_ErTcB2
_chemical_formula_sum 'Er4 Tc4 B8'
_symmetry_space_group_name_H-M 'P n m a'
_symmetry_Int_Tables_number 62
_cell_length_a 5.9281
_cell_length_b 5.2683
_cell_length_c 6.4141
_cell_angle_alpha 90.00
_cell_angle_beta 90.00
_cell_angle_gamma 90.00
loop_
_symmetry_equiv_pos_as_xyz
'x,y,z'
'-x,-y,-z'
'-x+1/2,-y,z+1/2'
'x+1/2,y,-z+1/2'
'x+1/2,-y+1/2,-z+1/2'
'-x+1/2,y+1/2,z+1/2'
'-x,y+1/2,-z'
'x,-y+1/2,z'
loop_
_atom_site_label
_atom_site_type_symbol
_atom_site_fract_x
_atom_site_fract_y
_atom_site_fract_z
Er1 Er 0.0150 0.2500 0.1615
Tc1 Tc 0.1820 0.2500 0.6856
B1 B 0.1305 0.5779 0.4649
```

---

Record 3
First-principles (PBE) data for an optimized crystal structure of ErTc2B2, as listed in the Alexandria database.

Calculated values
The uncorrected energy is -8.12 eV per atom.

Geometry as CIF:
```
data_ErTc2B2
_chemical_formula_sum 'Er2 Tc4 B4'
_symmetry_space_group_name_H-M 'P 1 21/m 1'
_symmetry_Int_Tables_number 11
_cell_length_a 4.2649
_cell_length_b 3.1901
_cell_length_c 9.6838
_cell_angle_alpha 90.00
_cell_angle_beta 95.78
_cell_angle_gamma 90.00
loop_
_symmetry_equiv_pos_as_xyz
'x,y,z'
'-x,-y,-z'
'-x,y+1/2,-z'
'x,-y+1/2,z'
loop_
_atom_site_label
_atom_site_type_symbol
_atom_site_fract_x
_atom_site_fract_y
_atom_site_fract_z
Er1 Er 0.1934 0.2500 0.2430
Tc1 Tc 0.2490 0.7500 0.4976
Tc2 Tc 0.3459 0.2500 0.9054
B1 B 0.1229 0.7500 0.0170
B2 B 0.2860 0.2500 0.6614
```

---

Record 4
First-principles (PBE) data for an optimized crystal structure of ErTcB, as listed in the Alexandria database.

Calculated values
The energy relative to the lowest polymorph listed for this composition is 0 meV per atom. The uncorrected energy is -7.48 eV per atom.

Geometry as CIF:
```
data_ErTcB
_chemical_formula_sum 'Er4 Tc4 B4'
_symmetry_space_group_name_H-M 'I m m m'
_symmetry_Int_Tables_number 71
_symmetry_space_group_name_Hall '-I 2 2'
_cell_length_a 3.3982
_cell_length_b 5.3276
_cell_length_c 10.1398
_cell_angle_alpha 90.00
_cell_angle_beta 90.00
_cell_angle_gamma 90.00
loop_
_atom_site_label
_atom_site_type_symbol
_atom_site_fract_x
_atom_site_fract_y
_atom_site_fract_z
Er1 Er 0.0000 0.0000 0.2075
Tc1 Tc 0.0000 0.2500 0.5000
B1 B 0.0000 0.5000 0.0850
```

---

Record 5
First-principles (PBE) data for an optimized crystal structure of ErTc2B6, as listed in the Alexandria database.

Calculated values
The energy relative to the lowest polymorph listed for this composition is 120 meV per atom. The uncorrected energy is -7.61 eV per atom.

Geometry as CIF:
```
data_ErTc2B6
_chemical_formula_sum 'Er1 Tc2 B6'
_symmetry_space_group_name_H-M 'P 6/m m m'
_symmetry_Int_Tables_number 191
_symmetry_space_group_name_Hall '-P 6 2'
_cell_length_a 5.3027
_cell_length_b 5.3027
_cell_length_c 3.4934
_cell_angle_alpha 90.00
_cell_angle_beta 90.00
_cell_angle_gamma 120.00
loop_
_atom_site_label
_atom_site_type_symbol
_atom_site_fract_x
_atom_site_fract_y
_atom_site_fract_z
Er1 Er 0.0000 0.0000 0.0000
Tc1 Tc 0.3333 0.6667 0.0000
B1 B 0.0000 0.3401 0.5000
```

---

Record 6
First-principles (PBE) data for an optimized crystal structure of ErTcB2, as listed in the Alexandria database.

Calculated values
The energy relative to the lowest polymorph listed for this composition is 464 meV per atom. The uncorrected energy is -7.21 eV per atom.

Geometry as CIF:
```
data_ErTcB2
_chemical_formula_sum 'Er3 Tc3 B6'
_symmetry_space_group_name_H-M 'R -3 m'
_symmetry_Int_Tables_number 166
_symmetry_space_group_name_Hall '-R 3 2"'
_cell_length_a 3.4124
_cell_length_b 3.4124
_cell_length_c 15.9709
_cell_angle_alpha 90.00
_cell_angle_beta 90.00
_cell_angle_gamma 120.00
loop_
_atom_site_label
_atom_site_type_symbol
_atom_site_fract_x
_atom_site_fract_y
_atom_site_fract_z
Er1 Er 0.0000 0.0000 0.0000
Tc1 Tc 0.0000 0.0000 0.5000
B1 B 0.0000 0.0000 0.2293
```

---

Record 7
First-principles (PBE) data for an optimized crystal structure of Er3Tc3B8, as listed in the Alexandria database.

Calculated values
The uncorrected energy is -7.27 eV per atom.

Geometry as CIF:
```
data_Er3Tc3B8
_chemical_formula_sum 'Er6 Tc6 B16'
_symmetry_space_group_name_H-M 'I m m m'
_symmetry_Int_Tables_number 71
_symmetry_space_group_name_Hall '-I 2 2'
_cell_length_a 3.1209
_cell_length_b 9.6204
_cell_length_c 11.0018
_cell_angle_alpha 90.00
_cell_angle_beta 90.00
_cell_angle_gamma 90.00
loop_
_atom_site_label
_atom_site_type_symbol
_atom_site_fract_x
_atom_site_fract_y
_atom_site_fract_z
Er1 Er 0.0000 0.0000 0.0000
Er2 Er 0.0000 0.0000 0.2872
Tc1 Tc 0.0000 0.2438 0.5000
Tc2 Tc 0.0000 0.5000 0.0000
B1 B 0.0000 0.2862 0.2983
B2 B 0.0000 0.3038 0.1412
```

---

Record 8
First-principles (PBE) data for an optimized crystal structure of ErTc4B2, as listed in the Alexandria database.

Calculated values
The uncorrected energy is -8.64 eV per atom.

Geometry as CIF:
```
data_ErTc4B2
_chemical_formula_sum 'Er2 Tc8 B4'
_symmetry_space_group_name_H-M 'C m m m'
_symmetry_Int_Tables_number 65
_symmetry_space_group_name_Hall '-C 2 2'
_cell_length_a 3.7917
_cell_length_b 13.6545
_cell_length_c 3.6999
_cell_angle_alpha 90.00
_cell_angle_beta 90.00
_cell_angle_gamma 90.00
loop_
_atom_site_label
_atom_site_type_symbol
_atom_site_fract_x
_atom_site_fract_y
_atom_site_fract_z
Er1 Er 0.0000 0.0000 0.0000
Tc1 Tc 0.0000 0.1724 0.5000
Tc2 Tc 0.0000 0.3195 0.0000
B1 B 0.0000 0.4316 0.5000
```

---

Among the records above, which one has the highest uncorrected energy?
number 6

---

What is the uncorrected energy in the eighth record?
-8.64 eV per atom

---

The highest uncorrected energy belongs to which entry?
number 6

---

Look up the uncorrected energy of the fifth one.
-7.61 eV per atom